No. 1
Entry from the Alexandria database: a relaxed structure of Tb4Ge3Rh (PBE).

Properties
Electronic total energy: -5.816 eV/atom
Total magnetization: 0.0 μB per formula unit
V: 183.1 Å³ per cell

```
Tb4Ge3Rh
1.0
4.035 0.000 0.000
0.000 4.202 0.000
0.000 0.000 10.804
Tb Ge Rh
4 3 1
direct
0.000 0.000 0.000
0.000 0.500 0.488
0.500 0.000 0.712
0.500 0.500 0.218
0.000 0.500 0.769
0.500 0.000 0.433
0.500 0.500 0.933
0.000 0.000 0.272
```



No. 2
Entry from the Alexandria database: a relaxed structure of TbGeRh2 (PBE).

Properties
Electronic total energy: -6.698 eV/atom
Total magnetization: 0.0 μB per formula unit
V: 68.4 Å³ per cell

```
TbGeRh2
1.0
4.326 0.000 0.000
0.000 4.326 0.000
0.000 0.000 3.655
Tb Ge Rh
1 1 2
direct
0.000 0.000 0.000
0.500 0.500 0.000
0.000 0.500 0.500
0.500 0.000 0.500
```



No. 3
Entry from the Alexandria database: a relaxed structure of Tb2Ge2Rh5 (PBE).

Properties
Electronic total energy: -6.879 eV/atom
Total magnetization: 0.0 μB per formula unit
V: 156.7 Å³ per cell

```
Tb2Ge2Rh5
1.0
4.184 0.000 0.000
0.000 4.184 0.000
0.000 0.000 8.954
Tb Ge Rh
2 2 5
direct
0.000 0.000 0.000
0.000 0.000 0.500
0.500 0.500 0.140
0.500 0.500 0.860
0.000 0.500 0.273
0.000 0.500 0.727
0.500 0.000 0.273
0.500 0.000 0.727
0.500 0.500 0.500
```



No. 4
Entry from the Alexandria database: a relaxed structure of TbGe3Rh2 (PBE).

Properties
Electronic total energy: -6.143 eV/atom
Total magnetization: 0.0 μB per formula unit
V: 215.4 Å³ per cell

```
TbGe3Rh2
1.0
7.674 -2.089 0.000
7.674 2.089 0.000
-2.927 0.000 6.719
Tb Ge Rh
2 6 4
direct
0.128 0.128 0.150
0.872 0.872 0.850
0.036 0.036 0.680
0.321 0.321 0.105
0.332 0.332 0.526
0.668 0.668 0.474
0.679 0.679 0.895
0.964 0.964 0.320
0.209 0.209 0.715
0.497 0.497 0.186
0.503 0.503 0.814
0.791 0.791 0.285
```



No. 5
Entry from the Alexandria database: a relaxed structure of TbGeRh2 (PBE).

Properties
Electronic total energy: -6.865 eV/atom
Total magnetization: 0.0 μB per formula unit
V: 210.6 Å³ per cell

```
TbGeRh2
1.0
2.784 1.607 7.841
-2.784 1.607 7.841
0.000 -3.215 7.841
Tb Ge Rh
3 3 6
direct
0.000 0.000 0.000
0.140 0.140 0.140
0.860 0.860 0.860
0.333 0.333 0.333
0.500 0.500 0.500
0.667 0.667 0.667
0.079 0.582 0.582
0.418 0.418 0.921
0.418 0.921 0.418
0.582 0.079 0.582
0.582 0.582 0.079
0.921 0.418 0.418
```



No. 6
Entry from the Alexandria database: a relaxed structure of TbGe2Rh3 (PBE).

Properties
Electronic total energy: -6.559 eV/atom
Total magnetization: 0.0 μB per formula unit
V: 242.1 Å³ per cell

```
TbGe2Rh3
1.0
3.995 0.000 0.000
0.000 3.995 0.000
0.000 0.000 15.174
Tb Ge Rh
2 4 6
direct
0.000 0.000 0.000
0.500 0.500 0.500
0.000 0.000 0.342
0.000 0.000 0.658
0.500 0.500 0.158
0.500 0.500 0.842
0.000 0.000 0.500
0.000 0.500 0.250
0.000 0.500 0.750
0.500 0.000 0.250
0.500 0.000 0.750
0.500 0.500 0.000
```